Computed, not measured: an optimized crystal structure of SnRhF2 at the PBE level of DFT.

Lattice parameters (Å, degrees): 7.9123 7.9123 7.9123 23.57 23.57 23.57
Sites, in units of the cell vectors:
Rh1 0.5000 0.5000 0.5000
Sn1 0.0000 0.0000 0.0000
F1 0.8992 0.8992 0.8992
F2 0.1008 0.1008 0.1008

Total moment in μB/cell: 2.266
SG: R-3m (166)
Offset from the most stable computed form in eV per atom: 0.280
Formation energy from raw total energies in kJ/mol of formula units: -290
DFT total energy in eV/cell: -18.1
ρ in Mg/m³: 6.20